Tc2RhSe | Alexandria via LeMat-Bulk | GGA-PBE | optimized geometry; size of the total moment = 0.00 μB/f.u.; density of states at the Fermi level = 3.94 states/eV/f.u.; uncorrected formation energy = 311 meV per atom; crystal system = tetragonal; space-group type = I-4m2, No. 119; mass density = 10.6 g cm⁻³
1.0
-1.9584 1.9584 3.8538
1.9584 -1.9584 3.8538
1.9584 1.9584 -3.8538
Tc Rh Se
2 1 1
Cartesian
0.0000 0.0000 0.0000
0.0000 1.9584 1.9269
1.9584 0.0000 1.9269
0.0000 0.0000 3.8538